The following is a PBE-GGA calculation of a relaxed structure of HgBiI, from Alexandria via LeMat-Bulk. Values from VASP.

Computed properties:
E above lowest polymorph	2.29	kcal/mol of atoms
uncorrected formation energy	-1.57	kcal/mol of atoms
total DFT energy (no corrections)	-1.98	eV per atom
DOS at the Fermi energy	0.39	states/eV/atom

Structure (Quantum ESPRESSO input):
```
&SYSTEM
  ibrav = 0, nat = 3, ntyp = 3
/
ATOMIC_SPECIES
Bi 208.98 Bi.upf
I 126.90 I.upf
Hg 200.59 Hg.upf
ATOMIC_POSITIONS crystal
Bi 0.374 0.000 0.125
I 0.507 0.000 0.626
Hg 0.872 0.500 0.125
CELL_PARAMETERS angstrom
-2.450 1.322 -3.835
2.510 -2.178 -2.355
-3.580 -4.911 0.727
```